Record 1
Entry from the Alexandria database: an optimized crystal structure of PrNdSnPb (GGA-PBE).

Output
Size of the total moment: 0.0 μB/cell
Formation enthalpy at 0 K: -0.51 eV/atom
DFT total energy: -77.17 eV per cell
Distance to the lowest polymorph of the same formula: 0.66 eV per formula unit

```
data_PrNdSnPb
_cell_length_a 7.876
_cell_length_b 7.876
_cell_length_c 7.876
_cell_angle_alpha 90.00
_cell_angle_beta 90.00
_cell_angle_gamma 90.00
_space_group_name_H-M_alt 'F -4 3 m'
_space_group_IT_number 216
_space_group_name_Hall 'F -4 2 3'
loop_
_atom_site_label
_atom_site_type_symbol
_atom_site_fract_x
_atom_site_fract_y
_atom_site_fract_z
Pr1 Pr 0.000 0.000 0.000
Nd1 Nd 0.000 0.000 0.500
Sn1 Sn 0.250 0.250 0.750
Pb1 Pb 0.250 0.250 0.250
```

---

Record 2
Entry from the Alexandria database: an optimized crystal structure of PrNdSnPb (GGA-PBE).

Output
Size of the total moment: 0.0 μB/cell
Formation enthalpy at 0 K: -0.67 eV/atom
DFT total energy: -39.90 eV per cell
Distance to the lowest polymorph of the same formula: 0.00 eV per formula unit

```
data_PrNdSnPb
_cell_length_a 4.482
_cell_length_b 4.695
_cell_length_c 11.915
_cell_angle_alpha 90.00
_cell_angle_beta 90.00
_cell_angle_gamma 90.00
_space_group_name_H-M_alt 'A m m 2'
_space_group_IT_number 38
_space_group_name_Hall 'A 2 -2'
loop_
_atom_site_label
_atom_site_type_symbol
_atom_site_fract_x
_atom_site_fract_y
_atom_site_fract_z
Pr1 Pr 0.000 0.000 0.000
Nd1 Nd 0.500 0.000 0.732
Sn1 Sn 0.000 0.000 0.272
Pb1 Pb 0.500 0.000 0.457
```

---

Record 3
Entry from the Alexandria database: an optimized crystal structure of PrNdTlPb (GGA-PBE).

Output
Size of the total moment: 0.0 μB/cell
Formation enthalpy at 0 K: -0.43 eV/atom
DFT total energy: -69.44 eV per cell

```
data_PrNdTlPb
_cell_length_a 7.874
_cell_length_b 7.874
_cell_length_c 7.874
_cell_angle_alpha 90.00
_cell_angle_beta 90.00
_cell_angle_gamma 90.00
_space_group_name_H-M_alt 'F -4 3 m'
_space_group_IT_number 216
_space_group_name_Hall 'F -4 2 3'
loop_
_atom_site_label
_atom_site_type_symbol
_atom_site_fract_x
_atom_site_fract_y
_atom_site_fract_z
Pr1 Pr 0.000 0.000 0.000
Nd1 Nd 0.000 0.000 0.500
Tl1 Tl 0.250 0.250 0.750
Pb1 Pb 0.250 0.250 0.250
```

---

Record 4
Entry from the Alexandria database: an optimized crystal structure of PrNdZnPb (GGA-PBE).

Output
Size of the total moment: 0.0 μB/cell
Formation enthalpy at 0 K: -0.41 eV/atom
DFT total energy: -64.62 eV per cell

```
data_PrNdZnPb
_cell_length_a 7.676
_cell_length_b 7.676
_cell_length_c 7.676
_cell_angle_alpha 90.00
_cell_angle_beta 90.00
_cell_angle_gamma 90.00
_space_group_name_H-M_alt 'F -4 3 m'
_space_group_IT_number 216
_space_group_name_Hall 'F -4 2 3'
loop_
_atom_site_label
_atom_site_type_symbol
_atom_site_fract_x
_atom_site_fract_y
_atom_site_fract_z
Pr1 Pr 0.000 0.000 0.000
Nd1 Nd 0.000 0.000 0.500
Zn1 Zn 0.250 0.250 0.750
Pb1 Pb 0.250 0.250 0.250
```